(1)
LiTcO3 | OQMD | PBE | optimized geometry; total moment = 0.01 μB/f.u.; VASP energy = -0.50147 Ry per atom; crystal system = orthorhombic
1.0
4.781 0.000 0.000
0.000 5.006 0.000
0.000 0.000 7.734
Li O Tc
4 12 4
Cartesian
2.390 0.000 0.000
0.000 2.503 0.000
2.390 0.000 3.867
0.000 2.503 3.867
3.311 1.515 0.759
3.859 4.019 0.759
0.908 1.981 1.934
1.483 4.484 1.934
3.311 1.515 3.108
3.859 4.019 3.108
0.921 0.988 4.626
1.469 3.491 4.626
3.298 0.522 5.801
3.873 3.025 5.801
0.921 0.988 6.975
1.469 3.491 6.975
4.532 0.467 1.934
2.639 2.970 1.934
2.142 2.036 5.801
0.248 4.539 5.801

=====

(2)
Li2Tc2O5 | OQMD | PBE | optimized geometry; total moment = 5.51 μB/f.u.; E above lowest polymorph = 522 meV/atom; crystal system = tetragonal
1.0
7.458 0.000 0.000
0.000 3.408 0.000
0.000 0.000 3.408
Li O Tc
2 5 2
Cartesian
1.847 1.704 1.704
5.610 1.704 1.704
1.151 1.704 0.000
6.307 1.704 0.000
1.151 0.000 1.704
6.307 0.000 1.704
3.729 1.704 1.704
0.000 0.000 0.000
3.729 0.000 0.000

=====

(3)
Li4TcTeO6 | OQMD | PBE | optimized geometry; total moment = 2.99 μB/f.u.; VASP energy = -0.42654 Ry per atom; crystal system = monoclinic
1.0
-2.669 -4.625 -0.011
-2.669 4.625 -0.011
1.792 0.000 -4.912
Li O Tc Te
4 6 1 1
Cartesian
-2.669 -0.010 -0.011
-1.774 -4.508 -2.467
-1.774 -1.483 -2.467
-1.774 1.419 -2.467
-3.632 1.553 -1.168
-3.517 -1.643 -1.195
-0.829 0.076 -1.210
-2.718 0.076 -3.725
-0.030 -1.643 -3.739
0.085 1.553 -3.766
-2.669 -3.089 -0.011
-2.669 3.074 -0.011

=====

(4)
LiTlZnO2 | OQMD | PBE | optimized geometry; VASP energy = -0.31588 Ry per atom; crystal system = monoclinic
1.0
-0.576 3.986 -3.991
-3.296 4.160 -1.994
4.873 1.724 6.488
Li O Tl Zn
2 4 2 2
Cartesian
-1.036 2.880 -1.662
2.036 6.990 2.165
-0.343 1.397 -0.589
-0.614 4.831 -1.257
1.614 5.039 1.760
1.343 8.473 1.092
-1.422 7.408 -2.582
2.422 2.462 3.086
0.717 0.694 0.916
0.284 9.176 -0.412

=====

(5)
Li8Tm4O11 | OQMD | PBE | optimized geometry; total moment = 0.99 μB/f.u.; E above lowest polymorph = 3 meV/atom; crystal system = triclinic
1.0
-5.709 -9.565 -0.027
-2.783 4.740 0.040
1.932 -0.013 -4.791
Li O Tm
8 11 4
Cartesian
-4.576 0.123 -2.213
-2.433 1.574 -2.249
-2.261 -1.665 -2.299
-4.742 -3.479 -2.478
-4.260 -6.109 -2.560
-7.083 -4.745 -2.544
-1.039 -0.179 -4.247
-3.674 -4.698 -4.758
-3.711 -1.407 -0.973
-3.924 1.814 -1.126
-3.704 -4.726 -1.257
-6.478 -3.172 -1.323
-1.191 2.937 -1.444
-2.865 -0.003 -3.395
0.100 -1.643 -3.500
-2.850 -3.174 -3.556
-5.549 -4.865 -3.820
0.271 1.201 -3.833
-2.905 -6.441 -3.865
-5.550 -7.969 -0.259
-0.759 2.859 -4.502
-0.967 -3.174 -4.745
-3.721 -1.600 -4.772

=====

(6)
LiTmO2 | OQMD | PBE | optimized geometry; total moment = 0.00 μB/f.u.; VASP energy = -0.51923 Ry per atom; crystal system = tetragonal
1.0
-0.963 5.007 2.670
-4.891 0.218 3.027
4.430 -3.659 -0.345
Li O Tm
2 4 2
Cartesian
-2.927 2.613 2.849
-1.694 -0.414 2.766
-1.353 1.207 1.317
-4.501 4.018 4.381
1.623 0.773 1.271
-1.082 3.188 3.904
0.000 0.000 0.000
0.270 1.980 2.587

=====

(7)
LiTm2O4 | OQMD | PBE | optimized geometry; total moment = 1.06 μB/f.u.; VASP energy = -0.52675 Ry per atom; crystal system = cubic
1.0
1.652 6.276 -0.908
-2.320 -3.535 -5.007
-3.986 1.758 4.895
Li O Tm
2 8 4
Cartesian
0.000 0.000 0.000
-0.918 3.379 -1.961
-3.069 -1.060 -2.119
-1.053 3.725 0.189
-2.315 1.804 -2.533
-2.032 0.608 0.511
-2.873 4.528 2.423
-4.909 -0.203 0.461
-3.851 1.411 2.746
-4.156 2.662 0.047
-1.619 -0.078 -3.484
-1.626 5.706 1.013
-2.452 2.568 1.467
-3.612 0.801 -1.036

=====

(8)
Li4Tm2O5 | OQMD | PBE | optimized geometry; total moment = 0.00 μB/f.u.; VASP energy = -0.47012 Ry per atom; crystal system = orthorhombic
1.0
0.000 0.000 4.393
6.687 2.197 0.000
0.000 4.394 0.000
Li O Tm
4 5 2
Cartesian
0.000 0.000 0.000
2.508 2.197 0.000
0.000 2.197 2.196
4.179 4.394 0.000
0.000 0.000 2.196
4.590 2.197 0.000
2.237 2.197 2.196
4.450 4.394 2.196
2.097 4.394 0.000
4.570 2.197 2.196
2.117 4.394 2.196

=====

(9)
Li8Tm4O11 | OQMD | PBE | optimized geometry; total moment = 2.00 μB/f.u.; E above lowest polymorph = 0 meV/atom; crystal system = triclinic
1.0
-3.631 2.502 -10.325
2.467 3.833 3.217
4.071 -2.809 -1.154
Li O Tm
8 11 4
Cartesian
-1.439 3.782 -6.188
2.870 1.499 -0.395
0.852 4.871 -7.650
1.055 2.810 -5.757
-0.058 1.974 -7.949
0.407 0.184 -5.684
1.891 0.518 -2.653
4.292 -0.293 -1.891
-0.699 1.790 -5.898
0.341 4.696 -5.469
1.201 0.523 -0.764
2.258 3.531 -0.386
-0.988 3.882 -8.345
2.089 0.884 -5.003
0.643 0.038 -7.901
3.948 -0.359 0.068
3.523 1.664 -2.357
1.766 2.972 -7.541
2.762 -1.174 -2.804
-2.907 2.925 -8.947
1.791 3.420 1.803
3.881 1.986 -4.505
2.786 -1.207 -4.970

=====

(10)
LiTmO2 | OQMD | PBE | optimized geometry; total moment = 0.00 μB/f.u.; VASP energy = -0.51974 Ry per atom; crystal system = monoclinic
1.0
-5.797 -0.730 -1.168
1.397 -2.268 -5.520
2.930 -4.548 2.610
Li O Tm
4 8 4
Cartesian
-3.476 -2.192 -4.361
0.243 -2.598 0.150
-1.714 -4.947 -4.228
2.005 -5.354 0.283
-2.152 -1.557 -0.954
1.708 -3.108 -4.325
-4.262 -2.784 -2.566
-1.052 -3.279 -3.370
-0.419 -4.266 -0.707
2.791 -4.761 -1.511
-3.179 -4.438 0.248
0.681 -5.988 -3.124
-0.249 -2.217 -5.087
-2.345 -3.609 -1.643
0.875 -3.937 -2.434
-1.222 -5.329 1.010

=====

(11)
Li7TmO6 | OQMD | PBE | optimized geometry; total moment = 2.00 μB/f.u.; VASP energy = -0.38872 Ry per atom; crystal system = trigonal
1.0
-3.175 1.499 -4.391
2.900 -4.819 -0.138
-1.969 -4.566 3.464
Li O Tm
7 6 1
Cartesian
0.723 -2.807 -1.477
-0.268 -2.566 0.869
0.409 -5.321 -1.120
-1.713 -2.834 -2.267
-2.511 -2.823 -0.034
-0.703 -4.896 1.001
-1.894 -5.187 -1.669
-0.346 -4.269 -2.535
-0.994 -1.795 -0.822
0.899 -3.966 0.260
-3.232 -3.886 -1.600
-1.039 -6.281 -0.199
-1.891 -3.378 1.631
-5.139 -3.062 -0.929

=====

(12)
LiTmO2 | OQMD | PBE | optimized geometry; total moment = 0.00 μB/f.u.; VASP energy = -0.52003 Ry per atom; crystal system = orthorhombic
1.0
-7.372 7.453 -3.085
-1.804 -2.373 -1.421
-2.593 -0.711 4.477
Li O Tm
4 8 4
Cartesian
-4.899 3.583 -1.681
-2.010 -0.362 1.237
-9.758 4.731 -1.267
-6.869 0.786 1.651
-2.475 0.842 -0.181
-9.161 5.317 -3.003
-5.530 1.575 -1.365
-6.505 4.474 -1.130
-5.263 -0.104 1.100
-6.238 2.794 1.335
-2.607 -0.948 2.973
-9.293 3.528 0.151
-6.915 5.784 -2.798
-4.280 1.769 0.560
-7.488 2.600 -0.590
-4.854 -1.415 2.768

=====

(13)
LiYZr3O8 | OQMD | PBE | optimized geometry; total moment = 0.00 μB/f.u.; VASP energy = -0.64704 Ry per atom; crystal system = trigonal
1.0
-2.034 5.682 -2.005
2.180 -4.257 -4.191
-4.510 -1.798 -0.520
Li O Y Zr
1 8 1 3
Cartesian
-2.297 -2.169 -3.816
-0.459 1.145 -1.402
-1.462 3.947 -2.390
-0.387 1.848 -4.457
0.583 -1.021 -3.485
-2.719 1.536 -2.974
-1.810 -1.398 -2.125
-0.806 -3.358 -4.055
-1.743 -0.742 -4.978
-3.377 -1.346 -0.389
-2.123 2.389 -1.161
-1.053 0.298 -3.220
-2.052 3.089 -4.205

=====

(14)
Li6Zn2O7 | OQMD | PBE | optimized geometry; VASP energy = -0.33621 Ry per atom; crystal system = triclinic
1.0
4.384 0.925 2.240
-2.289 5.059 -1.290
-3.047 -0.230 4.037
Li O Zn
6 7 2
Cartesian
2.023 5.859 0.947
3.058 3.505 1.573
0.514 2.315 1.866
2.347 2.062 3.716
-0.198 0.871 4.009
-1.452 3.576 3.344
2.416 1.585 1.790
1.182 4.075 1.299
-0.148 0.429 2.001
-1.375 3.022 1.340
-0.610 5.360 2.993
0.445 2.791 3.791
-3.430 4.140 3.044
-0.575 4.854 0.950
-3.238 3.656 1.101

=====

(15)
LiZnO4 | OQMD | PBE | optimized geometry; E above lowest polymorph = 17 meV/atom; crystal system = triclinic
1.0
-4.401 2.290 -0.194
-1.046 -6.748 -6.645
-2.243 -4.081 9.989
Li O Zn
8 32 8
Cartesian
-3.505 -0.432 1.671
-2.425 -4.672 -1.558
-5.456 -4.738 -3.078
-2.157 -2.607 0.652
-3.760 -5.597 3.734
-5.669 -8.071 3.487
-2.990 -5.455 7.731
-4.897 -3.726 8.610
-4.691 -1.022 -2.616
-1.738 -1.153 -0.576
-3.341 -5.629 -5.382
-3.160 -4.935 -4.142
-3.175 -1.130 -0.181
-2.161 -5.419 -3.420
-4.844 1.039 1.884
-4.239 -4.185 -1.686
-1.864 -1.509 2.257
-1.469 -4.209 0.102
-3.905 -3.787 1.242
-4.795 -1.510 2.928
-2.977 -6.543 -0.596
-2.305 -8.254 -1.761
-3.156 -4.271 2.355
-4.029 -1.947 4.027
-2.270 -6.877 0.505
-5.964 -6.560 -1.023
-5.353 -6.405 1.411
-6.321 -4.134 3.046
-2.819 -4.265 4.939
-3.714 -2.054 6.654
-5.457 -4.613 4.009
-4.566 -6.864 2.496
-2.038 -4.736 6.039
-3.058 -2.629 7.765
-4.740 -4.661 6.854
-7.250 -6.825 3.701
-4.031 -7.376 4.956
-5.859 -2.188 8.784
-3.048 -8.185 5.132
-5.773 -5.575 6.735
-0.477 -0.079 0.487
-4.337 -2.402 -1.102
-4.582 -5.245 -0.118
-5.706 -2.850 1.557
-2.181 -2.846 3.636
-4.681 -3.341 5.335
-2.926 -7.977 2.200
-5.530 -1.163 7.182

=====

(16)
LiZn2O4 | OQMD | PBE | optimized geometry; VASP energy = -0.31652 Ry per atom; crystal system = cubic
1.0
4.172 -4.172 0.000
-4.172 0.000 -4.172
4.172 4.172 0.000
Li O Zn
2 8 4
Cartesian
0.000 0.000 0.000
2.086 -2.086 -2.086
-0.966 0.966 -3.206
3.206 -0.966 -0.966
0.966 -0.966 -3.206
1.120 1.120 -1.120
5.139 0.966 -0.966
1.120 3.052 -3.052
3.052 3.052 -1.120
3.052 1.120 -3.052
-1.043 -1.043 -3.129
5.215 -1.043 -1.043
1.043 1.043 -3.129
3.129 1.043 -1.043

=====

(17)
Li3ZnO4 | OQMD | PBE | optimized geometry; E above lowest polymorph = 41 meV/atom; crystal system = monoclinic
1.0
0.898 1.826 -4.501
-1.773 0.592 -4.572
-1.898 3.980 2.230
Li O Zn
3 4 1
Cartesian
-0.711 1.636 -1.691
-0.949 1.990 1.115
-2.063 4.763 -5.152
-0.997 2.603 -7.697
-1.232 2.946 -4.840
-1.542 3.453 -2.003
-1.776 3.796 0.854
-0.438 1.209 -4.537